Below is crystalline NiSnPO2 at its relaxed geometry, with properties calculated at the GGA+U level.

Results
ρ: 6.0 g/cm³
final energy: -4.4263 eV/atom
polymorph energy (0 for the lowest one): 0.000 eV/atom

a = 3.8148 Å, b = 3.8148 Å, c = 4.5986 Å
α = 90.00°, β = 90.00°, γ = 90.00°
Closest atoms and distances in Å follow each position.
Positions (direct):
Sn 0.5000 0.5000 0.5000  4 P 2.70, 8 O 2.99
O 0.5000 0.0000 0.0000  2 Ni 1.91
O 0.0000 0.5000 0.0000  2 Ni 1.91
Ni 0.0000 0.0000 0.0000  4 O 1.91
P 0.0000 0.0000 0.5000  2 Ni 2.30



Below is crystalline NiSnPO2 at its relaxed geometry, with properties calculated at the GGA+U level.

Results
ρ: 4.7 g/cm³
final energy: -4.3816 eV/atom
polymorph energy (0 for the lowest one): 0.045 eV/atom

a = 3.9075 Å, b = 3.9075 Å, c = 5.5564 Å
α = 90.00°, β = 90.00°, γ = 90.00°
Closest atoms and distances in Å follow each position.
Positions (direct):
P 0.0000 0.0000 0.5000  4 Ni 2.76, 2 Sn 2.78
O 0.5000 0.0000 0.0000  2 Sn 1.95
O 0.0000 0.5000 0.0000  2 Sn 1.95
Sn 0.0000 0.0000 0.0000  4 O 1.95
Ni 0.5000 0.5000 0.5000  4 P 2.76



Below is crystalline NiSn3P4O16 at its relaxed geometry, with properties calculated at the GGA+U level.

Results
ρ: 4.1 g/cm³
final energy: -6.6568 eV/atom

a = 6.1270 Å, b = 5.0702 Å, c = 10.2674 Å
α = 89.72°, β = 90.00°, γ = 90.00°
Closest atoms and distances in Å follow each position.
Positions (direct):
O 0.5000 0.1344 0.4454  1 P 1.50
O 0.5000 0.6920 0.1136  1 P 1.51
O 0.3016 0.2498 0.1646  1 P 1.59
O 0.7984 0.7169 0.8495  1 P 1.59
O 0.6922 0.3266 0.6530  1 P 1.60
O 0.5000 0.8769 0.6564  1 P 1.55
O 0.5000 0.3239 0.9472  1 P 1.56
O 0.0000 0.8021 0.5331  1 P 1.50
O 0.0000 0.2889 0.9170  1 P 1.50
O 0.6984 0.2498 0.1646  1 P 1.59
O 0.1978 0.7273 0.3171  1 P 1.59
O 0.0000 0.1688 0.3676  1 P 1.56
O 0.8022 0.7273 0.3171  1 P 1.59
O 0.2016 0.7169 0.8495  1 P 1.59
O 0.0000 0.6848 0.0645  1 P 1.55
O 0.3078 0.3266 0.6530  1 P 1.60
P 0.5000 0.1538 0.5913  4 O 1.50-1.60
P 0.0000 0.8650 0.3903  4 O 1.50-1.59
P 0.5000 0.3967 0.0951  4 O 1.51-1.59
P 0.0000 0.5854 0.9216  4 O 1.50-1.59
Ni 0.5000 0.9256 0.2715  4 O 2.01-2.16
Sn 0.0000 0.0641 0.7153  6 O 2.30-2.55
Sn 0.5000 0.5659 0.7840  6 O 2.05-2.16
Sn 0.0000 0.4304 0.2176  6 O 2.03-2.19



Below is crystalline SrNiP2O at its relaxed geometry, with properties calculated at the GGA+U level.

Results
ρ: 2.8 g/cm³
final energy: -2.6533 eV/atom
polymorph energy (0 for the lowest one): 1.475 eV/atom

a = 5.5922 Å, b = 5.5922 Å, c = 4.2314 Å
α = 90.00°, β = 90.00°, γ = 90.00°
Closest atoms and distances in Å follow each position.
Positions (direct):
O 0.0000 0.0000 0.5000  2 Sr 2.12
P 0.0000 0.5000 0.0000  2 Sr 2.80
P 0.5000 0.0000 0.0000  2 Sr 2.80
Sr 0.0000 0.0000 0.0000  2 O 2.12
Ni 0.5000 0.5000 0.5000  8 P 3.51



Below is crystalline SrNiP2O at its relaxed geometry, with properties calculated at the GGA+U level.

Results
ρ: 4.0 g/cm³
final energy: -4.1280 eV/atom
polymorph energy (0 for the lowest one): 0.000 eV/atom

a = 4.1310 Å, b = 5.4715 Å, c = 4.1310 Å
α = 90.00°, β = 90.00°, γ = 90.00°
Closest atoms and distances in Å follow each position.
Positions (direct):
Sr 0.5000 0.5000 0.5000  4 O 2.92
P 0.0000 0.0000 0.5000  2 Ni 2.07
P 0.5000 0.0000 0.0000  2 Ni 2.07
O 0.0000 0.5000 0.0000  2 Ni 2.74, 4 Sr 2.92
Ni 0.0000 0.0000 0.0000  4 P 2.07



Below is crystalline SrNi2PO at its relaxed geometry, with properties calculated at the GGA+U level.

Results
ρ: 5.0 g/cm³
final energy: -3.7850 eV/atom
polymorph energy (0 for the lowest one): 0.000 eV/atom

a = 4.1908 Å, b = 4.7881 Å, c = 4.1908 Å
α = 90.00°, β = 90.00°, γ = 90.00°
Closest atoms and distances in Å follow each position.
Positions (direct):
Ni 0.0000 0.0000 0.5000  2 O 2.10
Ni 0.5000 0.0000 0.0000  2 O 2.10
Sr 0.0000 0.5000 0.0000  2 O 2.39
O 0.0000 0.0000 0.0000  4 Ni 2.10
P 0.5000 0.5000 0.5000  4 Sr 2.96, 8 Ni 3.18



Below is crystalline SrNi2P2O8 at its relaxed geometry, with properties calculated at the GGA+U level.

Results
ρ: 4.2 g/cm³
final energy: -6.5716 eV/atom

a = 5.5075 Å, b = 6.8778 Å, c = 9.2544 Å
α = 111.23°, β = 101.00°, γ = 98.09°
Closest atoms and distances in Å follow each position.
Positions (direct):
O 0.3382 0.5459 0.3740  1 P 1.57
O 0.6618 0.4541 0.6260  1 P 1.57
O 0.1210 0.9539 0.8687  1 P 1.56
O 0.2476 0.0085 0.6348  1 P 1.52
O 0.5456 0.8814 0.8049  1 P 1.59
O 0.4933 0.7435 0.0711  1 P 1.58
O 0.1564 0.7993 0.2628  1 P 1.54
O 0.8790 0.0461 0.1313  1 P 1.56
O 0.1457 0.4838 0.7010  1 P 1.55
O 0.8811 0.5955 0.9086  1 P 1.57
O 0.1189 0.4045 0.0914  1 P 1.57
O 0.7524 0.9915 0.3652  1 P 1.52
O 0.5067 0.2565 0.9289  1 P 1.58
O 0.4544 0.1186 0.1951  1 P 1.59
O 0.8543 0.5162 0.2990  1 P 1.55
O 0.8436 0.2007 0.7372  1 P 1.54
Sr 0.7591 0.8011 0.5539  7 O 2.53-2.72
Sr 0.2409 0.1989 0.4461  7 O 2.53-2.72
Ni 0.5113 0.6028 0.8394  5 O 2.03-2.24
Ni 0.1422 0.8557 0.0606  6 O 1.98-2.18
Ni 0.4887 0.3972 0.1606  5 O 2.03-2.24
Ni 0.8578 0.1443 0.9394  6 O 1.98-2.18
P 0.8914 0.4285 0.7418  4 O 1.54-1.57
P 0.3463 0.0267 0.8056  4 O 1.52-1.59
P 0.6537 0.9733 0.1944  4 O 1.52-1.59
P 0.1086 0.5715 0.2582  4 O 1.54-1.57



Below is crystalline SrNi2PO at its relaxed geometry, with properties calculated at the GGA+U level.

Results
ρ: 5.2 g/cm³
final energy: -3.6565 eV/atom
polymorph energy (0 for the lowest one): 0.129 eV/atom

a = 4.1509 Å, b = 4.6587 Å, c = 4.1509 Å
α = 90.00°, β = 90.00°, γ = 90.00°
Closest atoms and distances in Å follow each position.
Positions (direct):
P 0.0000 0.0000 0.0000  4 Ni 2.08
Ni 0.5000 0.0000 0.0000  2 P 2.08
Ni 0.0000 0.0000 0.5000  2 P 2.08
O 0.0000 0.5000 0.0000  2 P 2.33
Sr 0.5000 0.5000 0.5000  4 O 2.94, 8 Ni 3.12



Below is crystalline SrNiP2O8 at its relaxed geometry, with properties calculated at the GGA+U level.

Results
ρ: 3.5 g/cm³
final energy: -6.1607 eV/atom

a = 5.6355 Å, b = 7.6442 Å, c = 9.0294 Å
α = 122.86°, β = 95.43°, γ = 92.41°
Closest atoms and distances in Å follow each position.
Positions (direct):
P 0.6881 0.4074 0.6919  4 O 1.52-1.66
P 0.8285 0.9066 0.2384  3 O 1.58-1.72
P 0.3119 0.5926 0.3081  4 O 1.52-1.66
P 0.1715 0.0934 0.7616  3 O 1.58-1.72
O 0.7865 0.1734 0.5852  1 O 1.50, 1 P 1.66
O 0.5200 0.1652 0.2210  1 O 1.51
O 0.4800 0.8348 0.7790  1 O 1.51
O 0.9155 0.1421 0.4366  1 O 1.50
O 0.1336 0.4443 0.3205  1 P 1.54
O 0.7012 0.4572 0.8802  1 P 1.52
O 0.5605 0.9511 0.1829  1 O 1.51, 1 P 1.65
O 0.0223 0.9713 0.1567  1 P 1.58
O 0.9777 0.0287 0.8433  1 P 1.58
O 0.4290 0.3914 0.6115  1 P 1.54
O 0.4395 0.0489 0.8171  1 O 1.51, 1 P 1.65
O 0.8664 0.5557 0.6795  1 P 1.54
O 0.2135 0.8266 0.4148  1 O 1.50, 1 P 1.66
O 0.2988 0.5428 0.1198  1 P 1.52
O 0.0845 0.8579 0.5634  1 O 1.50
O 0.5710 0.6086 0.3885  1 P 1.54
Ni 0.2522 0.2286 0.3624  4 O 1.97-2.09
Ni 0.7478 0.7714 0.6376  4 O 1.97-2.09
Sr 0.7523 0.3221 0.0865  6 O 2.53-2.74
Sr 0.2477 0.6779 0.9135  6 O 2.53-2.74



Below is crystalline SrNiP2O6 at its relaxed geometry, with properties calculated at the GGA+U level.

Results
ρ: 3.7 g/cm³
final energy: -6.3515 eV/atom

a = 5.1737 Å, b = 5.1737 Å, c = 6.6235 Å
α = 67.01°, β = 67.01°, γ = 60.00°
Closest atoms and distances in Å follow each position.
Positions (direct):
O 0.5110 0.2630 0.2958  1 P 1.55
O 0.2630 0.9302 0.2958  1 P 1.55
O 0.7370 0.0698 0.7042  1 P 1.55
O 0.0698 0.4890 0.7042  1 P 1.55
O 0.9302 0.5110 0.2958  1 P 1.55
O 0.4890 0.7370 0.7042  1 P 1.55
Sr 0.0000 0.0000 0.0000  6 O 2.62
Ni 0.5000 0.5000 0.5000  6 O 2.12
P 0.7449 0.7449 0.7652  3 O 1.55
P 0.2551 0.2551 0.2348  3 O 1.55



Below is crystalline SrNiP2O8 at its relaxed geometry, with properties calculated at the GGA+U level.

Results
ρ: 3.7 g/cm³
final energy: -6.4959 eV/atom

a = 4.9729 Å, b = 4.9729 Å, c = 7.1102 Å
α = 90.00°, β = 90.00°, γ = 120.00°
Closest atoms and distances in Å follow each position.
Positions (direct):
P 0.6667 0.3333 0.2693  4 O 1.55
P 0.3333 0.6667 0.7307  4 O 1.55
O 0.3333 0.6667 0.9494  1 P 1.55
O 0.3401 0.2665 0.3292  1 P 1.55
O 0.9264 0.6599 0.3292  1 P 1.55
O 0.6667 0.3333 0.0506  1 P 1.55
O 0.2665 0.9264 0.6708  1 P 1.55
O 0.6599 0.7335 0.6708  1 P 1.55
O 0.0736 0.3401 0.6708  1 P 1.55
O 0.7335 0.0736 0.3292  1 P 1.55
Sr 0.0000 0.0000 0.0000  12 O 2.80-2.89
Ni 0.0000 0.0000 0.5000  6 O 1.96



Below is crystalline Sr2ZnNi2P4O16 at its relaxed geometry, with properties calculated at the GGA+U level.

Results
ρ: 3.4 g/cm³
final energy: -6.1705 eV/atom

a = 5.7700 Å, b = 7.9605 Å, c = 9.7160 Å
α = 117.99°, β = 84.05°, γ = 111.81°
Closest atoms and distances in Å follow each position.
Positions (direct):
Sr 0.0013 0.5250 0.8949  4 O 2.37-2.64
Sr 0.6995 0.2297 0.1908  4 O 2.46-2.66
Zn 0.8560 0.0656 0.4913  4 O 1.93-2.04
Ni 0.4393 0.9585 0.7363  2 O 1.78-1.91
Ni 0.3578 0.8453 0.3663  3 O 1.90-2.10
P 0.9998 0.0595 0.7883  4 O 1.53-1.63
P 0.5686 0.6571 0.1468  3 O 1.51-1.68
P 0.0736 0.9769 0.1812  3 O 1.50-1.56
P 0.1020 0.7007 0.5899  3 O 1.51-1.65
O 0.0831 0.9484 0.3287  1 P 1.56
O 0.0674 0.5461 0.6463  1 P 1.51
O 0.5520 0.4403 0.7125  1 O 1.24
O 0.5035 0.3880 0.5738  1 O 1.24
O 0.8984 0.8141 0.6697  2 P 1.63-1.65
O 0.2552 0.8983 0.0661  1 P 1.53
O 0.5457 0.8858 0.5453  2 Ni 1.78-1.98
O 0.0516 0.1777 0.6922  1 P 1.55
O 0.7840 0.1006 0.8903  1 P 1.54
O 0.7893 0.8086 0.0854  2 P 1.68-1.69
O 0.0709 0.6284 0.4150  1 P 1.52
O 0.6945 0.5206 0.1495  1 P 1.53
O 0.2414 0.1048 0.8741  1 P 1.53
O 0.3412 0.5506 0.0314  1 P 1.51
O 0.0919 0.1873 0.2173  1 P 1.50
O 0.6276 0.0720 0.3641  1 Ni 1.90, 1 Zn 1.93



Below is crystalline TaNiPO2 at its relaxed geometry, with properties calculated at the GGA+U level.

Results
ρ: 8.3 g/cm³
final energy: -5.9680 eV/atom
polymorph energy (0 for the lowest one): 1.138 eV/atom

a = 3.7065 Å, b = 3.7065 Å, c = 4.4328 Å
α = 90.00°, β = 90.00°, γ = 90.00°
Closest atoms and distances in Å follow each position.
Positions (direct):
P 0.0000 0.0000 0.5000  2 Ni 2.22
Ta 0.5000 0.5000 0.5000  4 P 2.62, 8 O 2.89
Ni 0.0000 0.0000 0.0000  4 O 1.85
O 0.5000 0.0000 0.0000  2 Ni 1.85
O 0.0000 0.5000 0.0000  2 Ni 1.85



Below is crystalline TaNiPO2 at its relaxed geometry, with properties calculated at the GGA+U level.

Results
ρ: 6.4 g/cm³
final energy: -7.1057 eV/atom
polymorph energy (0 for the lowest one): 0.000 eV/atom

a = 3.8522 Å, b = 3.8522 Å, c = 5.3050 Å
α = 90.00°, β = 90.00°, γ = 90.00°
Closest atoms and distances in Å follow each position.
Positions (direct):
P 0.0000 0.0000 0.5000  2 Ta 2.65, 4 Ni 2.72
O 0.5000 0.0000 0.0000  2 Ta 1.93
O 0.0000 0.5000 0.0000  2 Ta 1.93
Ta 0.0000 0.0000 0.0000  4 O 1.93
Ni 0.5000 0.5000 0.5000  4 P 2.72



Below is crystalline TbNiP2O8 at its relaxed geometry, with properties calculated at the GGA+U level.

Results
ρ: 4.5 g/cm³
final energy: -6.9258 eV/atom

a = 5.3911 Å, b = 5.3911 Å, c = 6.0293 Å
α = 90.00°, β = 90.00°, γ = 120.00°
Closest atoms and distances in Å follow each position.
Positions (direct):
Tb 0.0000 0.0000 0.0000  6 O 2.27
O 0.1755 0.3510 0.7388  1 P 1.57
O 0.6667 0.3333 0.6019  1 P 1.52
O 0.8245 0.1755 0.2612  1 P 1.57
O 0.3333 0.6667 0.3981  1 P 1.52
O 0.1755 0.8245 0.7388  1 P 1.57
O 0.8245 0.6490 0.2612  1 P 1.57
O 0.3510 0.1755 0.2612  1 P 1.57
O 0.6490 0.8245 0.7388  1 P 1.57
Ni 0.0000 0.0000 0.5000  6 O 2.18
P 0.3333 0.6667 0.6503  4 O 1.52-1.57
P 0.6667 0.3333 0.3497  4 O 1.52-1.57



Below is crystalline TcNiPO2 at its relaxed geometry, with properties calculated at the GGA+U level.

Results
ρ: 5.1 g/cm³
final energy: -6.1069 eV/atom
polymorph energy (0 for the lowest one): 0.000 eV/atom

a = 3.7140 Å, b = 3.7140 Å, c = 5.1849 Å
α = 90.00°, β = 90.00°, γ = 90.00°
Closest atoms and distances in Å follow each position.
Positions (direct):
O 0.0000 0.5000 0.0000  2 Tc 1.86
O 0.5000 0.0000 0.0000  2 Tc 1.86
Tc 0.0000 0.0000 0.0000  4 O 1.86
P 0.0000 0.0000 0.5000  2 Tc 2.59, 4 Ni 2.63
Ni 0.5000 0.5000 0.5000  4 P 2.63



Below is crystalline TcNiPO2 at its relaxed geometry, with properties calculated at the GGA+U level.

Results
ρ: 6.0 g/cm³
final energy: -5.2667 eV/atom
polymorph energy (0 for the lowest one): 0.840 eV/atom

a = 3.6724 Å, b = 3.6724 Å, c = 4.5367 Å
α = 90.00°, β = 90.00°, γ = 90.00°
Closest atoms and distances in Å follow each position.
Positions (direct):
O 0.5000 0.0000 0.0000  2 Ni 1.84
O 0.0000 0.5000 0.0000  2 Ni 1.84
P 0.0000 0.0000 0.5000  2 Ni 2.27
Ni 0.0000 0.0000 0.0000  4 O 1.84
Tc 0.5000 0.5000 0.5000  4 P 2.60



Below is crystalline NiTeP2O at its relaxed geometry, with properties calculated at the GGA+U level.

Results
ρ: 4.3 g/cm³
final energy: -3.3991 eV/atom
polymorph energy (0 for the lowest one): 0.516 eV/atom

a = 5.1576 Å, b = 5.1576 Å, c = 3.8779 Å
α = 90.00°, β = 90.00°, γ = 90.00°
Closest atoms and distances in Å follow each position.
Positions (direct):
Ni 0.5000 0.5000 0.5000  8 P 3.23
P 0.5000 0.0000 0.0000  2 Te 2.58
P 0.0000 0.5000 0.0000  2 Te 2.58
O 0.0000 0.0000 0.5000  2 Te 1.94
Te 0.0000 0.0000 0.0000  2 O 1.94



Below is crystalline NiTeP2O at its relaxed geometry, with properties calculated at the GGA+U level.

Results
ρ: 5.6 g/cm³
final energy: -3.9148 eV/atom
polymorph energy (0 for the lowest one): 0.000 eV/atom

a = 4.6677 Å, b = 4.6677 Å, c = 3.5889 Å
α = 90.00°, β = 90.00°, γ = 90.00°
Closest atoms and distances in Å follow each position.
Positions (direct):
O 0.0000 0.0000 0.5000  2 Ni 1.79
P 0.0000 0.5000 0.0000  2 Ni 2.33
P 0.5000 0.0000 0.0000  2 Ni 2.33
Ni 0.0000 0.0000 0.0000  2 O 1.79
Te 0.5000 0.5000 0.5000  8 P 2.94



Below is crystalline NiTeP2O8 at its relaxed geometry, with properties calculated at the GGA+U level.

Results
ρ: 3.7 g/cm³
final energy: -6.3918 eV/atom

a = 4.9486 Å, b = 9.7556 Å, c = 7.0218 Å
α = 91.29°, β = 88.43°, γ = 96.42°
Closest atoms and distances in Å follow each position.
Positions (direct):
O 0.7291 0.0674 0.7957  1 P 1.57
O 0.7966 0.8420 0.6114  1 P 1.53
O 0.3342 0.8899 0.7562  1 P 1.53
O 0.6828 0.3340 0.9068  1 P 1.62
O 0.6658 0.1101 0.2438  1 P 1.53
O 0.8713 0.5544 0.7361  1 P 1.50
O 0.7468 0.3180 0.5680  1 P 1.58
O 0.2034 0.1580 0.3886  1 P 1.53
O 0.8218 0.6312 0.2251  1 P 1.54
O 0.7394 0.8396 0.9621  1 P 1.60
O 0.1782 0.3688 0.7749  1 P 1.54
O 0.2708 0.9325 0.2043  1 P 1.57
O 0.2532 0.6820 0.4320  1 P 1.58
O 0.2606 0.1605 0.0379  1 P 1.60
O 0.1287 0.4456 0.2639  1 P 1.50
O 0.3172 0.6660 0.0932  1 P 1.62
P 0.1142 0.5986 0.2590  4 O 1.50-1.62
P 0.6430 0.9079 0.7744  4 O 1.53-1.60
P 0.8858 0.4014 0.7410  4 O 1.50-1.62
P 0.3570 0.0922 0.2256  4 O 1.53-1.60
Ni 0.9141 0.2711 0.3156  4 O 1.94-2.00
Ni 0.0859 0.7289 0.6844  4 O 1.94-2.00
Te 0.4174 0.1983 0.7756  4 O 1.99-2.15
Te 0.5826 0.8018 0.2244  4 O 1.99-2.15